The following is a PBE-GGA calculation of an optimized crystal structure of La2Bi2S, from Alexandria.

```
La2Bi2S
1.0
-7.036 -3.108 -2.197
2.805 -1.113 -7.408
1.606 -4.548 1.291
Bi La S
4 4 2
Direct
0.869 0.369 0.500
0.631 0.869 0.500
0.131 0.631 0.500
0.369 0.131 0.500
0.819 0.681 0.000
0.181 0.319 0.000
0.319 0.819 0.000
0.681 0.181 0.000
0.000 0.000 0.000
0.500 0.500 0.000
```

Calculated values
raw total energy	-0.402	Ry/atom
space-group type	P4/mbm
total magnetic moment	0.0	μB/f.u.



The following is a PBE-GGA calculation of an optimized crystal structure of Tb5Dy2Th6, from Alexandria.

```
Tb5Dy2Th6
1.0
3.523 0.000 0.000
0.000 11.800 0.000
0.000 0.000 20.521
Th Dy Tb
12 4 10
Direct
0.000 0.943 0.641
0.000 0.933 0.930
0.500 0.697 0.881
0.500 0.803 0.381
0.000 0.557 0.141
0.000 0.567 0.430
0.500 0.303 0.119
0.000 0.433 0.570
0.000 0.067 0.070
0.000 0.057 0.359
0.000 0.443 0.859
0.500 0.197 0.619
0.000 0.677 0.726
0.000 0.823 0.226
0.000 0.323 0.274
0.000 0.177 0.774
0.500 0.581 0.281
0.500 0.919 0.781
0.500 0.000 0.500
0.500 0.795 0.065
0.500 0.500 0.000
0.500 0.205 0.935
0.500 0.295 0.435
0.500 0.081 0.219
0.500 0.419 0.719
0.500 0.705 0.565
```

Calculated values
space-group type	Pbam
formation energy	147	meV/atom
total magnetic moment	0.0	μB/f.u.



The following is a PBE-GGA calculation of an optimized crystal structure of CeZnNi5Ge2, from Alexandria.

```
CeZnNi5Ge2
1.0
3.772 0.000 0.000
0.000 3.772 0.000
0.000 0.000 10.330
Ni Ge Ce Zn
5 2 1 1
Direct
0.000 0.500 0.147
0.500 0.000 0.147
0.000 0.500 0.853
0.500 0.500 0.500
0.500 0.000 0.853
0.500 0.500 0.279
0.500 0.500 0.721
0.000 0.000 0.500
0.000 0.000 0.000
```

Calculated values
space-group type	P4/mmm
formation energy	-142	meV/atom
total magnetic moment	0.6	μB/f.u.



The following is a PBE-GGA calculation of an optimized crystal structure of Pm6SiTe3P2, from Alexandria.

```
Pm6SiTe3P2
1.0
4.264 0.000 0.000
0.000 8.772 0.137
-2.132 -2.710 9.130
Pm P Te Si
6 2 3 1
Direct
0.008 0.234 0.015
0.675 0.564 0.349
0.340 0.897 0.681
0.325 0.436 0.651
0.992 0.766 0.985
0.660 0.103 0.319
0.168 0.335 0.335
0.832 0.665 0.665
0.500 0.500 0.000
0.833 0.168 0.666
0.167 0.832 0.334
0.500 0.000 0.000
```

Calculated values
raw total energy	-0.437	Ry/atom
space-group type	C2/m
total magnetic moment	0.0	μB/f.u.



The following is a PBE-GGA calculation of an optimized crystal structure of Zr2ScSe, from Alexandria.

```
Zr2ScSe
1.0
5.840 -0.001 -0.001
2.500 5.278 0.001
-3.452 -3.773 2.821
Sc Se Zr
1 1 2
Direct
0.529 0.529 0.000
0.751 0.251 0.500
0.246 0.746 0.500
0.975 0.975 0.000
```

Calculated values
raw total energy	-0.526	Ry/atom
space-group type	Imm2
total magnetic moment	0.0	μB/f.u.



The following is a PBE-GGA calculation of an optimized crystal structure of Ac3MgAl8, from Alexandria.

```
Ac3MgAl8
1.0
-2.097 2.361 -4.883
-2.048 -3.418 -4.236
-10.091 0.012 0.877
Ac Al Mg
3 8 1
Direct
0.996 0.996 0.011
0.503 0.503 0.492
0.374 0.374 0.877
0.938 0.436 0.190
0.436 0.938 0.190
0.939 0.939 0.683
0.939 0.439 0.683
0.439 0.939 0.683
0.188 0.188 0.436
0.436 0.436 0.190
0.687 0.687 0.940
0.875 0.875 0.376
```

Calculated values
space-group type	R3m
formation energy	-256	meV/atom
total magnetic moment	0.0	μB/f.u.



The following is a PBE-GGA calculation of an optimized crystal structure of NaAcPm2Tl4, from Alexandria.

```
NaAcPm2Tl4
1.0
5.491 0.000 0.000
2.746 4.755 0.000
2.746 1.585 9.377
Tl Na Pm Ac
4 1 2 1
Direct
0.127 0.127 0.619
0.873 0.873 0.381
0.620 0.620 0.140
0.380 0.380 0.860
0.500 0.500 0.500
0.242 0.242 0.273
0.758 0.758 0.727
0.000 0.000 0.000
```

Calculated values
space-group type	R-3m
formation energy	-297	meV/atom
total magnetic moment	0.0	μB/f.u.



The following is a PBE-GGA calculation of an optimized crystal structure of Li2BRu2, from Alexandria.

```
Li2BRu2
1.0
5.490 0.000 0.000
0.000 5.490 0.000
0.000 0.000 4.506
Li Ru B
4 4 2
Direct
0.666 0.834 0.500
0.334 0.166 0.500
0.166 0.666 0.500
0.834 0.334 0.500
0.346 0.846 0.000
0.846 0.654 0.000
0.154 0.346 0.000
0.654 0.154 0.000
0.500 0.500 0.000
0.000 0.000 0.000
```

Calculated values
space-group type	P4/mbm
energy above the most stable polymorph in this dataset	0	kJ/mol of formula units
formation energy	28	meV/atom
total magnetic moment	0.0	μB/f.u.



The following is a PBE-GGA calculation of an optimized crystal structure of Ba4Li3Mg, from Alexandria.

```
Ba4Li3Mg
1.0
-1.662 -2.673 -3.747
-2.476 -3.342 3.483
-11.092 7.652 -0.541
Ba Mg Li
4 1 3
Direct
0.500 0.000 0.644
0.000 0.000 0.144
0.500 0.500 0.354
0.000 0.500 0.856
0.500 0.500 0.063
0.000 0.500 0.562
0.000 0.000 0.438
0.500 0.000 0.939
```

Calculated values
space-group type	Pmm2
energy above the most stable polymorph in this dataset	6	kJ/mol of formula units
formation energy	27	meV/atom
total magnetic moment	0.0	μB/f.u.



The following is a PBE-GGA calculation of an optimized crystal structure of LiAcTlO3, from Alexandria.

```
LiAcTlO3
1.0
-2.945 0.220 -5.326
-5.597 -2.309 0.656
-4.695 4.630 -0.123
O Ac Li Tl
6 2 2 2
Direct
0.316 0.316 0.462
0.860 0.327 0.195
0.684 0.684 0.538
0.140 0.673 0.805
0.327 0.860 0.195
0.673 0.140 0.805
0.293 0.293 0.105
0.707 0.707 0.895
0.335 0.665 0.500
0.665 0.335 0.500
0.905 0.905 0.242
0.095 0.095 0.758
```

Calculated values
raw total energy	-0.420	Ry/atom
space-group type	C2/m
total magnetic moment	0.0	μB/f.u.



The following is a PBE-GGA calculation of an optimized crystal structure of FeNi2Os, from Alexandria.

```
FeNi2Os
1.0
4.421 0.009 -0.025
3.681 2.448 -0.025
0.682 0.207 4.444
Ni Os Fe
2 1 1
Direct
0.000 0.000 0.000
0.751 0.751 0.753
0.498 0.498 0.504
0.252 0.252 0.244
```

Calculated values
space-group type	Cm
energy above the most stable polymorph in this dataset	5	kJ/mol of formula units
formation energy	80	meV/atom
total magnetic moment	2.8	μB/f.u.



The following is a PBE-GGA calculation of an optimized crystal structure of Na2CdS, from Alexandria.

```
Na2CdS
1.0
-6.175 5.417 2.414
-2.046 -5.217 6.473
-0.377 2.845 7.836
Na S Cd
4 2 2
Direct
0.375 0.609 0.750
0.391 0.125 0.250
0.875 0.641 0.750
0.359 0.625 0.250
0.250 0.750 0.500
0.500 0.500 0.000
0.750 0.250 0.500
0.000 0.000 0.000
```

Calculated values
space-group type	I-42d
energy above the most stable polymorph in this dataset	25	kJ/mol of formula units
total magnetic moment	0.0	μB/f.u.